Entry from the Alexandria database: an optimized crystal structure of NaPa2Te6 (PBE).

Values from the calculation:
ΔE_f (raw): -572 kJ/mol of formula units
Uncorrected energy: -5.010 eV/atom
Density of states at the Fermi level: 9.6 states/eV/cell

```
data_NaPa2Te6
_chemical_formula_sum 'Na2 Pa4 Te12'
_cell_length_a 7.346
_cell_length_b 7.346
_cell_length_c 13.455
_cell_angle_alpha 90.00
_cell_angle_beta 90.00
_cell_angle_gamma 90.00
_symmetry_space_group_name_H-M 'P 42/m n m'
_symmetry_Int_Tables_number 136
_symmetry_space_group_name_Hall '-P 4n 2n'
loop_
_atom_site_label
_atom_site_type_symbol
_atom_site_fract_x
_atom_site_fract_y
_atom_site_fract_z
Na1 Na 0.000 0.000 0.000
Pa1 Pa 0.000 0.000 0.335
Te1 Te 0.192 0.192 0.500
Te2 Te 0.214 0.214 0.187
```

---

Entry from the Alexandria database: an optimized crystal structure of MoAsPt4 (PBE).

Values from the calculation:
Uncorrected energy: -6.277 eV/atom
Energy relative to the elements: 0.331 eV per atom
Density of states at the Fermi level: 18.8 states/eV/cell

```
data_MoAsPt4
_chemical_formula_sum 'Mo4 As4 Pt16'
_cell_length_a 7.455
_cell_length_b 7.455
_cell_length_c 7.455
_cell_angle_alpha 90.00
_cell_angle_beta 90.00
_cell_angle_gamma 90.00
_symmetry_space_group_name_H-M 'F -4 3 m'
_symmetry_Int_Tables_number 216
_symmetry_space_group_name_Hall 'F -4 2 3'
loop_
_atom_site_label
_atom_site_type_symbol
_atom_site_fract_x
_atom_site_fract_y
_atom_site_fract_z
Mo1 Mo 0.000 0.000 0.000
As1 As 0.250 0.250 0.750
Pt1 Pt 0.126 0.126 0.374
```

---

Entry from the Alexandria database: an optimized crystal structure of SmHo2MgHg4 (PBE).

Values from the calculation:
Uncorrected energy: -2.533 eV/atom
Energy relative to the elements: -0.449 eV per atom
Density of states at the Fermi level: 16.0 states/eV/cell

```
data_SmHo2MgHg4
_chemical_formula_sum 'Sm3 Ho6 Mg3 Hg12'
_cell_length_a 5.1431
_cell_length_b 5.1431
_cell_length_c 26.0657
_cell_angle_alpha 90.00
_cell_angle_beta 90.00
_cell_angle_gamma 120.00
_symmetry_space_group_name_H-M 'R -3 m'
_symmetry_Int_Tables_number 166
_symmetry_space_group_name_Hall '-R 3 2"'
loop_
_atom_site_label
_atom_site_type_symbol
_atom_site_fract_x
_atom_site_fract_y
_atom_site_fract_z
Sm1 Sm 0.0000 0.0000 0.0000
Ho1 Ho 0.0000 0.0000 0.2442
Mg1 Mg 0.0000 0.0000 0.5000
Hg1 Hg 0.0000 0.0000 0.1257
Hg2 Hg 0.0000 0.0000 0.3776
```